# MnTc2F (PBE+U, relaxed)
# energy above the lowest structure with this stoichiometry: 543 meV per atom
# mass density: 8.5 g/cm³
# N(E_F): 10.94 states/eV per cell
data_MnTc2F
_chemical_formula_sum 'Mn4 Tc8 F4'
_symmetry_space_group_name_H-M 'I -4 2 d'
_symmetry_Int_Tables_number 122
_symmetry_space_group_name_Hall 'I -4 2bw'
_cell_length_a 6.154
_cell_length_b 6.154
_cell_length_c 5.581
_cell_angle_alpha 90.00
_cell_angle_beta 90.00
_cell_angle_gamma 90.00
loop_
_atom_site_label
_atom_site_type_symbol
_atom_site_fract_x
_atom_site_fract_y
_atom_site_fract_z
Mn1 Mn 0.000 0.000 0.000
Tc1 Tc 0.238 0.250 0.625
F1 F 0.000 0.000 0.500